## Ba2Te2N (SCAN)

Data for a PBEsol-optimized structure of Ba2Te2N.

a b c (Å): 6.5836 6.5836 7.8448
angles (deg): 90.00 90.00 90.00
Fractional coordinates of all 10 atoms:
1 Ba 0.0000 0.5000 0.2500
2 Ba 0.0000 0.5000 0.7500
3 Ba 0.5000 0.0000 0.2500
4 Ba 0.5000 0.0000 0.7500
5 Te 0.0000 0.0000 0.2104
6 Te 0.0000 0.0000 0.7896
7 Te 0.5000 0.5000 0.2895
8 Te 0.5000 0.5000 0.7104
9 N 0.0000 0.0000 0.5000
10 N 0.5000 0.5000 0.0000

Summary:
E_form (uncorrected) = -0.3723 eV/atom
Density = 5.3 g cm⁻³
Magnetic moment = 0.0 μB/cell
SG = I4/mmm
E_tot = -32.95 eV per atom